(1)
KSrOF2 after structural relaxation. Source: the Alexandria database, functional PBE.

Results
* density of states at the Fermi level: 0.000 states/eV/atom
* uncorrected formation energy: -9.93 eV per formula unit
* relative energy among the computed polymorphs: 0.511 eV/atom
* space group: P4/mmm

Lattice parameters (Å, degrees): 4.643 4.643 4.648 90.00 90.00 90.00
Positions (direct):
K 0.000 0.000 0.000
Sr 0.500 0.500 0.500
O 0.000 0.000 0.500
F 0.000 0.500 0.000
F 0.500 0.000 0.000

***

(2)
KSrO2F after structural relaxation. Source: the Alexandria database, functional PBE.

Results
* density of states at the Fermi level: 0.405 states/eV/atom
* uncorrected formation energy: -6.15 eV per formula unit
* space group: P4/mmm

Lattice parameters (Å, degrees): 4.593 4.593 4.648 90.00 90.00 90.00
Positions (direct):
K 0.000 0.000 0.000
Sr 0.500 0.500 0.500
O 0.000 0.500 0.000
O 0.500 0.000 0.000
F 0.000 0.000 0.500

***

The highest uncorrected formation energy belongs to which entry? KSrO2F

***

Which value of density of states at the Fermi level does entry 2 give? 0.405 states/eV/atom